The following is a DFT calculation (PBE) of a relaxed Er5In3 crystal.

Cell lengths 8.013, 8.013, 9.032 Å; angles 116.33, 116.33, 90.00 degrees
Fractional positions:
Er1 0.000 0.000 0.000
Er2 0.813 0.313 0.305
Er3 0.492 0.992 0.305
Er4 0.008 0.187 0.695
Er5 0.500 0.500 0.000
Er6 0.313 0.492 0.305
Er7 0.508 0.008 0.695
Er8 0.992 0.813 0.305
Er9 0.687 0.508 0.695
Er10 0.187 0.687 0.695
In1 0.867 0.367 0.000
In2 0.133 0.633 0.000
In3 0.250 0.250 0.500
In4 0.367 0.133 0.000
In5 0.750 0.750 0.500
In6 0.633 0.867 0.000

Output
total moment	0.00	μB/cell
density of states at the Fermi level	0.784	states/eV/atom
V	451.6	Å³ per cell
density	8.7	Mg/m³
total energy	-67.7	eV for the cell shown
E above lowest polymorph	10	meV/atom
space-group type	I4/mcm, No. 140
energy of formation from the pure elements	-0.355	eV per atom

=====

The following is a DFT calculation (PBE) of a relaxed Er5In4 crystal.

Cell lengths 6.595, 9.222, 9.222 Å; angles 120.00, 90.00, 90.00 degrees
Fractional positions:
In1 0.750 0.000 0.629
In2 0.250 0.000 0.371
In3 0.250 0.371 0.000
In4 0.500 0.000 0.000
In5 0.750 0.371 0.371
In6 0.000 0.000 0.000
In7 0.250 0.629 0.629
In8 0.750 0.629 0.000
Er1 0.500 0.333 0.667
Er2 0.250 0.291 0.291
Er3 0.000 0.667 0.333
Er4 0.250 0.000 0.709
Er5 0.750 0.000 0.291
Er6 0.750 0.709 0.709
Er7 0.250 0.709 0.000
Er8 0.750 0.291 0.000
Er9 0.000 0.333 0.667
Er10 0.500 0.667 0.333

Output
total moment	0.00	μB/cell
density of states at the Fermi level	0.695	states/eV/atom
V	485.7	Å³ per cell
density	8.9	Mg/m³
total energy	-75.1	eV for the cell shown
space-group type	P6_3/mcm, No. 193
energy of formation from the pure elements	-0.422	eV per atom

=====

The following is a DFT calculation (PBE) of a relaxed ErIn5 crystal.

Cell lengths 4.553, 4.613, 7.672 Å; angles 107.50, 90.00, 90.00 degrees
Fractional positions:
In1 0.000 0.337 0.674
In2 0.500 0.168 0.335
In3 0.000 0.663 0.326
In4 0.500 0.500 0.000
In5 0.500 0.832 0.665
Er1 0.000 0.000 0.000

Output
total moment	0.00	μB/cell
density of states at the Fermi level	0.531	states/eV/atom
V	153.7	Å³ per cell
density	8.0	Mg/m³
total energy	-19.3	eV for the cell shown
E above lowest polymorph	0	meV/atom
space-group type	Cmmm, No. 65
energy of formation from the pure elements	-0.177	eV per atom

=====

The following is a DFT calculation (PBE) of a relaxed Er3In crystal.

Cell lengths 3.451, 5.936, 6.494 Å; angles 117.20, 105.41, 90.00 degrees
Fractional positions:
Er1 0.268 0.608 0.536
Er2 0.732 0.072 0.464
Er3 0.500 0.477 0.000
In1 0.000 0.010 0.000

Output
total moment	0.00	μB/cell
density of states at the Fermi level	0.867	states/eV/atom
V	112.9	Å³ per cell
density	9.1	Mg/m³
total energy	-17.3	eV for the cell shown
space-group type	Imm2, No. 44
energy of formation from the pure elements	-0.222	eV per atom

=====

The following is a DFT calculation (PBE) of a relaxed Er3In crystal.

Cell lengths 4.701, 4.701, 6.021 Å; angles 112.98, 112.98, 90.00 degrees
Fractional positions:
In1 0.000 0.000 0.000
Er1 0.500 0.500 0.000
Er2 0.750 0.250 0.500
Er3 0.250 0.750 0.500

Output
total moment	0.00	μB/cell
density of states at the Fermi level	1.243	states/eV/atom
V	111.0	Å³ per cell
density	9.2	Mg/m³
total energy	-17.3	eV for the cell shown
space-group type	I4/mmm, No. 139
energy of formation from the pure elements	-0.224	eV per atom

=====

The following is a DFT calculation (PBE) of a relaxed Er3In5 crystal.

Cell lengths 6.341, 6.341, 10.342 Å; angles 90.00, 90.00, 101.46 degrees
Fractional positions:
In1 0.069 0.507 0.250
In2 0.001 0.001 0.250
In3 0.695 0.695 0.543
In4 0.695 0.695 0.957
In5 0.931 0.493 0.750
In6 0.305 0.305 0.457
In7 0.493 0.931 0.750
In8 0.999 0.999 0.750
In9 0.305 0.305 0.043
In10 0.507 0.069 0.250
Er1 0.387 0.387 0.750
Er2 0.206 0.794 0.500
Er3 0.613 0.613 0.250
Er4 0.206 0.794 0.000
Er5 0.794 0.206 0.000
Er6 0.794 0.206 0.500

Output
total moment	0.00	μB/cell
density of states at the Fermi level	0.511	states/eV/atom
V	407.6	Å³ per cell
density	8.8	Mg/m³
total energy	-61.6	eV for the cell shown
E above lowest polymorph	0	meV/atom
space-group type	Cmcm, No. 63
energy of formation from the pure elements	-0.427	eV per atom

=====

The following is a DFT calculation (PBE) of a relaxed Er5In3 crystal.

Cell lengths 5.073, 6.676, 6.676 Å; angles 103.46, 90.00, 90.00 degrees
Fractional positions:
Er1 0.500 0.715 0.715
Er2 0.000 0.500 0.000
Er3 0.000 0.000 0.500
Er4 0.000 0.000 0.000
Er5 0.500 0.285 0.285
In1 0.500 0.789 0.211
In2 0.500 0.211 0.789
In3 0.000 0.500 0.500

Output
total moment	0.00	μB/cell
density of states at the Fermi level	1.230	states/eV/atom
V	219.9	Å³ per cell
density	8.9	Mg/m³
total energy	-33.6	eV for the cell shown
E above lowest polymorph	43	meV/atom
space-group type	Cmmm, No. 65
energy of formation from the pure elements	-0.323	eV per atom

=====

The following is a DFT calculation (PBE) of a relaxed Er2In3 crystal.

Cell lengths 5.051, 5.051, 6.626 Å; angles 67.60, 67.60, 60.00 degrees
Fractional positions:
Er1 0.604 0.604 0.189
Er2 0.396 0.396 0.811
In1 0.000 0.000 0.000
In2 0.807 0.807 0.578
In3 0.193 0.193 0.422

Output
total moment	0.00	μB/cell
density of states at the Fermi level	0.723	states/eV/atom
V	131.4	Å³ per cell
density	8.6	Mg/m³
total energy	-19.0	eV for the cell shown
E above lowest polymorph	91	meV/atom
space-group type	R-3m, No. 166
energy of formation from the pure elements	-0.322	eV per atom

=====

The following is a DFT calculation (PBE) of a relaxed Er2In3 crystal.

Cell lengths 4.581, 7.484, 7.484 Å; angles 90.00, 90.00, 90.00 degrees
Fractional positions:
In1 0.000 0.000 0.000
In2 0.000 0.398 0.815
In3 0.500 0.500 0.500
In4 0.000 0.815 0.602
In5 0.000 0.602 0.185
In6 0.000 0.185 0.398
Er1 0.500 0.874 0.304
Er2 0.500 0.126 0.696
Er3 0.500 0.696 0.874
Er4 0.500 0.304 0.126

Output
total moment	0.00	μB/cell
density of states at the Fermi level	0.652	states/eV/atom
V	256.6	Å³ per cell
density	8.8	Mg/m³
total energy	-38.8	eV for the cell shown
E above lowest polymorph	0	meV/atom
space-group type	P4/m, No. 83
energy of formation from the pure elements	-0.413	eV per atom

=====

The following is a DFT calculation (PBE) of a relaxed Er13In2 crystal.

Cell lengths 6.629, 8.469, 8.799 Å; angles 113.24, 79.05, 97.49 degrees
Site moments in Bohr magnetons follow the coordinates.
Fractional positions:
Er1 0.121 0.516 0.739  0.05
Er2 0.305 0.345 0.976  0.04
Er3 0.000 0.000 0.000  0.03
Er4 0.800 0.226 0.846  0.01
Er5 0.695 0.655 0.024  0.04
Er6 0.368 0.588 0.391  0.04
Er7 0.256 0.062 0.581  0.07
Er8 0.879 0.484 0.261  0.05
Er9 0.200 0.774 0.154  0.01
Er10 0.514 0.146 0.205  0.03
Er11 0.744 0.938 0.419  0.07
Er12 0.486 0.854 0.795  0.03
Er13 0.632 0.412 0.609  0.04
In1 0.060 0.232 0.378  0.00
In2 0.940 0.768 0.622  0.00

Output
total moment	0.67	μB/cell
density of states at the Fermi level	1.500	states/eV/atom
V	444.8	Å³ per cell
density	9.0	Mg/m³
total energy	-66.2	eV for the cell shown
space-group type	P-1, No. 2
energy of formation from the pure elements	-0.092	eV per atom

=====

The following is a DFT calculation (PBE) of a relaxed Er3In crystal.

Cell lengths 5.498, 6.831, 6.832 Å; angles 120.00, 90.00, 90.00 degrees
Site moments in Bohr magnetons follow the coordinates.
Fractional positions:
In1 0.750 0.333 0.667  -0.01
In2 0.250 0.667 0.333  -0.01
Er1 0.250 0.659 0.829  0.10
Er2 0.750 0.829 0.171  0.10
Er3 0.750 0.829 0.659  0.10
Er4 0.250 0.171 0.341  0.10
Er5 0.750 0.341 0.171  0.10
Er6 0.250 0.171 0.829  0.10

Output
total moment	0.68	μB/cell
density of states at the Fermi level	1.377	states/eV/atom
V	222.2	Å³ per cell
density	9.2	Mg/m³
total energy	-34.8	eV for the cell shown
space-group type	P6_3/mmc, No. 194
energy of formation from the pure elements	-0.249	eV per atom

=====

The following is a DFT calculation (PBE) of a relaxed Er7In3 crystal.

Cell lengths 5.148, 6.719, 8.874 Å; angles 107.17, 106.86, 90.00 degrees
Fractional positions:
Er1 0.375 0.605 0.750
Er2 0.625 0.395 0.250
Er3 0.411 0.140 0.821
Er4 0.200 0.169 0.399
Er5 0.589 0.860 0.179
Er6 0.000 0.500 0.000
Er7 0.800 0.831 0.601
In1 0.194 0.686 0.387
In2 0.806 0.314 0.613
In3 0.000 0.000 0.000

Output
total moment	0.00	μB/cell
density of states at the Fermi level	0.843	states/eV/atom
V	279.4	Å³ per cell
density	9.0	Mg/m³
total energy	-43.2	eV for the cell shown
space-group type	C2/m, No. 12
energy of formation from the pure elements	-0.305	eV per atom

=====

The following is a DFT calculation (PBE) of a relaxed Er5In3 crystal.

Cell lengths 8.992, 8.992, 6.473 Å; angles 90.00, 90.00, 120.00 degrees
Fractional positions:
In1 0.597 0.000 0.750
In2 0.403 0.403 0.750
In3 0.000 0.403 0.250
In4 0.403 0.000 0.250
In5 0.000 0.597 0.750
In6 0.597 0.597 0.250
Er1 0.000 0.235 0.750
Er2 0.235 0.235 0.250
Er3 0.235 0.000 0.750
Er4 0.765 0.765 0.750
Er5 0.667 0.333 0.500
Er6 0.333 0.667 0.000
Er7 0.333 0.667 0.500
Er8 0.667 0.333 0.000
Er9 0.000 0.765 0.250
Er10 0.765 0.000 0.250

Output
total moment	0.00	μB/cell
density of states at the Fermi level	1.337	states/eV/atom
V	453.3	Å³ per cell
density	8.7	Mg/m³
total energy	-67.9	eV for the cell shown
E above lowest polymorph	0	meV/atom
space-group type	P6_3/mcm, No. 193
energy of formation from the pure elements	-0.366	eV per atom

=====

The following is a DFT calculation (PBE) of a relaxed Er5In6 crystal.

Cell lengths 5.222, 7.295, 9.021 Å; angles 113.85, 106.82, 90.00 degrees
Fractional positions:
Er1 0.000 0.500 0.000
Er2 0.322 0.822 0.644
Er3 0.659 0.659 0.318
Er4 0.678 0.178 0.356
Er5 0.341 0.341 0.682
In1 0.500 0.213 0.000
In2 0.844 0.074 0.689
In3 0.156 0.926 0.311
In4 0.156 0.385 0.311
In5 0.500 0.787 0.000
In6 0.844 0.615 0.689

Output
total moment	0.00	μB/cell
density of states at the Fermi level	0.712	states/eV/atom
V	298.1	Å³ per cell
density	8.5	Mg/m³
total energy	-43.3	eV for the cell shown
space-group type	Immm, No. 71
energy of formation from the pure elements	-0.368	eV per atom

=====

The following is a DFT calculation (PBE) of a relaxed Er5InIr2 crystal.

Cell lengths 7.730, 7.730, 8.655 Å; angles 116.52, 116.52, 90.00 degrees
Fractional positions:
Er1 0.526 0.708 0.734
Er2 0.974 0.474 0.266
Er3 0.708 0.208 0.734
Er4 0.026 0.526 0.734
Er5 0.292 0.792 0.266
Er6 0.474 0.292 0.266
Er7 0.208 0.026 0.734
Er8 0.500 0.500 0.000
Er9 0.792 0.974 0.266
Er10 0.000 0.000 0.000
Ir1 0.640 0.140 0.000
Ir2 0.360 0.860 0.000
Ir3 0.140 0.360 0.000
Ir4 0.860 0.640 0.000
In1 0.250 0.250 0.500
In2 0.750 0.750 0.500

Output
total moment	0.00	μB/cell
density of states at the Fermi level	0.890	states/eV/atom
V	401.0	Å³ per cell
density	11.1	Mg/m³
total energy	-97.7	eV for the cell shown
space-group type	I4/mcm, No. 140
energy of formation from the pure elements	-0.698	eV per atom

=====

The following is a DFT calculation (PBE) of a relaxed ErInIr4 crystal.

Cell lengths 5.307, 5.307, 5.307 Å; angles 60.00, 60.00, 60.00 degrees
Fractional positions:
Ir1 0.625 0.124 0.625
Ir2 0.625 0.625 0.124
Ir3 0.124 0.625 0.625
Ir4 0.625 0.625 0.625
In1 0.000 0.000 0.000
Er1 0.250 0.250 0.250

Output
total moment	0.00	μB/cell
density of states at the Fermi level	1.129	states/eV/atom
V	105.7	Å³ per cell
density	16.5	Mg/m³
total energy	-45.1	eV for the cell shown
space-group type	F-43m, No. 216
energy of formation from the pure elements	-0.387	eV per atom

=====

The following is a DFT calculation (PBE) of a relaxed ErInIr2 crystal.

Cell lengths 3.394, 3.394, 6.382 Å; angles 90.00, 90.00, 90.00 degrees
Fractional positions:
Ir1 0.000 0.000 0.762
Ir2 0.000 0.000 0.238
Er1 0.500 0.500 0.500
In1 0.500 0.500 0.000

Output
total moment	0.00	μB/cell
density of states at the Fermi level	0.672	states/eV/atom
V	73.5	Å³ per cell
density	15.1	Mg/m³
total energy	-27.0	eV for the cell shown
space-group type	P4/mmm, No. 123
energy of formation from the pure elements	-0.484	eV per atom

=====

The following is a DFT calculation (PBE) of a relaxed Er6In2Ir crystal.

Cell lengths 5.013, 7.208, 8.623 Å; angles 114.71, 106.87, 90.00 degrees
Fractional positions:
Er1 0.500 0.224 0.000
Er2 0.155 0.917 0.310
Er3 0.845 0.607 0.690
Er4 0.155 0.393 0.310
Er5 0.845 0.083 0.690
Er6 0.500 0.776 0.000
In1 0.334 0.333 0.667
In2 0.666 0.667 0.333
Ir1 0.000 0.000 0.000

Output
total moment	0.00	μB/cell
density of states at the Fermi level	0.866	states/eV/atom
V	268.2	Å³ per cell
density	8.8	Mg/m³
total energy	-44.5	eV for the cell shown
E above lowest polymorph	170	meV/atom
space-group type	Immm, No. 71
energy of formation from the pure elements	-0.313	eV per atom

=====

The following is a DFT calculation (PBE) of a relaxed Er8InIr2 crystal.

Cell lengths 5.398, 7.869, 7.869 Å; angles 112.82, 97.51, 97.51 degrees
Fractional positions:
Er1 0.423 0.673 0.935
Er2 0.000 0.755 0.251
Er3 0.577 0.072 0.333
Er4 0.423 0.935 0.673
Er5 0.000 0.251 0.755
Er6 0.801 0.617 0.617
Er7 0.200 0.389 0.389
Er8 0.577 0.333 0.072
Ir1 0.500 0.314 0.692
Ir2 0.500 0.692 0.314
In1 0.000 0.003 0.003

Output
total moment	0.01	μB/cell
density of states at the Fermi level	1.063	states/eV/atom
V	299.4	Å³ per cell
density	10.2	Mg/m³
total energy	-62.0	eV for the cell shown
space-group type	C2/m, No. 12
energy of formation from the pure elements	-0.456	eV per atom

=====

The following is a DFT calculation (PBE) of a relaxed Er2InIr crystal.

Cell lengths 5.031, 5.031, 5.031 Å; angles 60.00, 60.00, 60.00 degrees
Fractional positions:
In1 0.500 0.500 0.500
Er1 0.250 0.250 0.250
Er2 0.750 0.750 0.750
Ir1 0.000 0.000 0.000

Output
total moment	0.00	μB/cell
density of states at the Fermi level	0.533	states/eV/atom
V	90.0	Å³ per cell
density	11.8	Mg/m³
total energy	-23.1	eV for the cell shown
E above lowest polymorph	120	meV/atom
space-group type	Fm-3m, No. 225
energy of formation from the pure elements	-0.584	eV per atom